## AgHg2Br (PBEsol)

Data for AgHg2Br after structural relaxation.

Properties
Calculated volume ... 24.34 A^3/atom
Total energy ... -1.6664 eV/atom
Energy above the most stable polymorph in this dataset ... 9.3 meV/atom
Crystal system ... orthorhombic
Magnetic moment ... 0.0 μB/f.u.
ΔE_f (raw) ... -87.7 meV per atom

Lattice parameters (Å, degrees): 5.6950 9.5324 3.5875 90.00 90.00 90.00
Last column: nearest neighbours and their distance in Å.
Sites, in units of the cell vectors:
1 Ag 0.0000 0.0000 0.0000  4 Hg 2.82, 2 Br 2.85
2 Ag 0.5000 0.5000 0.0000  4 Hg 2.82, 2 Br 2.85
3 Hg 0.0000 0.2282 0.5000  2 Ag 2.82, 2 Hg 2.88, 2 Br 3.15
4 Hg 0.0000 0.7718 0.5000  2 Ag 2.82, 2 Hg 2.88, 2 Br 3.15
5 Hg 0.5000 0.2718 0.5000  2 Ag 2.82, 2 Hg 2.88, 2 Br 3.15
6 Hg 0.5000 0.7282 0.5000  2 Ag 2.82, 2 Hg 2.88, 2 Br 3.15
7 Br 0.0000 0.5000 0.0000  2 Ag 2.85, 4 Hg 3.15
8 Br 0.5000 0.0000 0.0000  2 Ag 2.85, 4 Hg 3.15

## ScReIr2 (PBEsol)

Data for ScReIr2 after structural relaxation.

Properties
Calculated volume ... 15.41 A^3/atom
Total energy ... -10.1198 eV/atom
Energy above the most stable polymorph in this dataset ... 201.2 meV/atom
Crystal system ... orthorhombic
Magnetic moment ... 0.0 μB/f.u.
Energy relative to the elements ... -21.6 kJ per mole of atoms

Lattice parameters (Å, degrees): 2.8024 3.9122 5.6205 90.00 90.00 90.00
Last column: nearest neighbours and their distance in Å.
Sites, in units of the cell vectors:
1 Sc 0.0000 0.0000 0.0000  6 Ir 2.71-2.85, 2 Sc 2.80, 4 Re 2.96
2 Re 0.5000 0.5000 0.6928  5 Ir 2.62-2.65, 2 Re 2.80
3 Ir 0.0000 0.0000 0.5065  4 Re 2.62, 2 Sc 2.77-2.85, 6 Ir 2.80-2.89
4 Ir 0.5000 0.5000 0.2209  2 Re 2.65-2.97, 4 Sc 2.71, 6 Ir 2.80-2.89